A plane-wave DFT calculation with PBE with a Hubbard U was carried out for a geometry-optimized MnIrO2 structure.

Calculated values
raw total energy	-49.81	eV per cell
relative energy among the computed polymorphs	1284	meV per atom

Lattice parameters (Å, degrees): 4.591 4.591 5.656 66.06 66.06 90.00
Sites, in units of the cell vectors:
O  0.375  0.416  0.750
O  0.166  0.625  0.250
O  0.584  0.125  0.250
O  0.875  0.834  0.750
Ir  0.750  0.250  0.500
Ir  0.000  0.000  0.000
Mn  0.250  0.750  0.500
Mn  0.500  0.500  0.000